## GeTeAsW2 (PBE-GGA)

Data for GeTeAsW2 after structural relaxation.

Cell and atoms, written as extended XYZ:
```
5
Lattice="4.819 0.000 0.000 0.000 4.662 0.000 0.000 0.000 4.819" Properties=species:S:1:pos:R:3 pbc="T T T"
W 0.000 0.000 2.409
W 2.409 0.000 0.000
As 0.000 2.331 0.000
Ge 0.000 0.000 0.000
Te 2.409 2.331 2.409
```

Values from the calculation:
E_tot: -6.035 eV per atom
ΔE_f (raw): 1628 meV/atom
N(E_F): 4.91 states/eV/cell
total moment: 1.17 Bohr magnetons per cell